Arrangement one

First-principles (PBE) data for a geometry-optimized PrYAu structure, as listed in OQMD via LeMat-Bulk.

a b c (Å): 4.9486 4.9486 4.9486
angles (deg): 60.00 60.00 60.00
Sites, in units of the cell vectors:
Y 0.0000 0.0000 0.0000
Pr 0.7500 0.7500 0.7500
Au 0.2500 0.2500 0.2500

## Properties
Total magnetic moment   0.00 μB per formula unit
V   86 Å³/cell

***

Arrangement two

First-principles (PBE) data for a geometry-optimized PrYAu structure, as listed in OQMD via LeMat-Bulk.

a b c (Å): 7.1469 5.0893 9.3113
angles (deg): 90.00 90.00 90.00
Sites, in units of the cell vectors:
Au 0.2733 0.7500 0.9034
Au 0.2267 0.2500 0.4034
Au 0.7267 0.2500 0.0966
Au 0.7733 0.7500 0.5966
Pr 0.8483 0.7500 0.9142
Pr 0.6517 0.2500 0.4142
Pr 0.1517 0.2500 0.0857
Pr 0.3483 0.7500 0.5858
Y 0.4931 0.7500 0.1743
Y 0.0069 0.2500 0.6743
Y 0.5069 0.2500 0.8257
Y 0.9931 0.7500 0.3257

## Properties
Total magnetic moment   0.00 μB per formula unit
V   339 Å³/cell

***

Most stable = arrangement two

***

Arrangement one

First-principles (PBE) data for a geometry-optimized RbPtAu structure, as listed in OQMD via LeMat-Bulk.

a b c (Å): 5.0026 5.0026 5.0026
angles (deg): 60.00 60.00 60.00
Sites, in units of the cell vectors:
Pt 0.7500 0.7500 0.7500
Rb 0.0000 0.0000 0.0000
Au 0.2500 0.2500 0.2500

## Properties
Total magnetic moment   0.01 μB per formula unit
V   89 Å³/cell

***

Arrangement two

First-principles (PBE) data for a geometry-optimized RbPtAu structure, as listed in OQMD via LeMat-Bulk.

a b c (Å): 4.8860 4.8860 4.8860
angles (deg): 60.00 60.00 60.00
Sites, in units of the cell vectors:
Pt 0.0000 0.0000 0.0000
Au 0.2500 0.2500 0.2500
Rb 0.7500 0.7500 0.7500

## Properties
Total magnetic moment   0.00 μB per formula unit
V   82 Å³/cell

***

Most stable = arrangement two